Density functional theory data (PBE) for a relaxed HoHfTh2N4 crystal.

It has space group P2/m (No. 10), with a = 5.993 Å, b = 3.443 Å, c = 6.132 Å, α = 90.00°, β = 108.82° and γ = 90.00°. The inequivalent atoms are Ho at (0.000, 0.000, 0.000), Hf at (0.500, 0.500, 0.000), Th at (0.000, 0.500, 0.500), Th at (0.500, 0.000, 0.500), N at (0.258, 0.500, 0.225) and N at (0.275, 0.000, 0.783).

The value obtained for the uncorrected formation energy is -1612.8 meV per atom. The value obtained for the density of states at the Fermi level is 3.0 states/eV/cell. The crystal system is monoclinic.